{"formula": "ThGa7Co2", "functional": "PBE", "state": "relaxed", "cell": [[-2.853, -2.378, 2.455], [1.125, -5.312, -3.838], [4.682, -0.820, 4.649]], "species": ["Th", "Ga", "Ga", "Ga", "Ga", "Ga", "Ga", "Ga", "Co", "Co"], "fractional_positions": [[0.000, 0.000, 0.000], [0.000, 0.690, 0.310], [0.000, 0.310, 0.690], [0.500, 0.101, 0.354], [0.500, 0.899, 0.646], [0.500, 0.354, 0.101], [0.500, 0.646, 0.899], [0.500, 0.500, 0.500], [0.500, 0.734, 0.266], [0.500, 0.266, 0.734]], "vol_a3_per_atom": 19.3, "magmom_total_mub_per_cell": 0.00, "formation_energy_ev_per_atom": -0.159, "dos_ef_per_ev_fu": 8.36, "total_energy_ev_per_atom": -4.44}